Record 1
First-principles (PBE) data for a relaxed Tb3Pr4ThS8 crystal, as listed in Alexandria.

Values from the calculation:
formation energy without anion corrections	-1.989	eV per atom
final energy	-6.580	eV/atom

Structure (POSCAR):
```
Tb3Pr4ThS8
1.0
4.0216 2.3219 6.6216
-4.0216 2.3219 6.6216
0.0000 -4.6438 6.6216
Tb Pr Th S
3 4 1 8
Direct
0.0000 0.5000 0.5000 Tb
0.5000 0.0000 0.5000 Tb
0.5000 0.5000 0.0000 Tb
0.0000 0.0000 0.5000 Pr
0.0000 0.5000 0.0000 Pr
0.5000 0.0000 0.0000 Pr
0.5000 0.5000 0.5000 Pr
0.0000 0.0000 0.0000 Th
0.2478 0.2478 0.7408 S
0.2478 0.7408 0.2478 S
0.2557 0.2557 0.2557 S
0.2592 0.7522 0.7522 S
0.7408 0.2478 0.2478 S
0.7443 0.7443 0.7443 S
0.7522 0.2592 0.7522 S
0.7522 0.7522 0.2592 S
```

Record 2
First-principles (PBE) data for a relaxed TbPr3Th2S6 crystal, as listed in Alexandria.

Values from the calculation:
formation energy without anion corrections	-1.946	eV per atom
final energy	-6.827	eV/atom

Structure (POSCAR):
```
TbPr3Th2S6
1.0
3.5132 -6.0694 0.0000
3.5132 6.0694 0.0000
-2.3419 0.0000 6.6331
Tb Pr Th S
1 3 2 6
Direct
0.0000 0.0000 0.0000 Tb
0.1674 0.8326 0.5000 Pr
0.5000 0.5000 0.5000 Pr
0.8326 0.1674 0.5000 Pr
0.3333 0.6667 0.0000 Th
0.6667 0.3333 0.0000 Th
0.0803 0.4081 0.2411 S
0.2469 0.2469 0.7578 S
0.4081 0.0803 0.2411 S
0.5919 0.9197 0.7589 S
0.7531 0.7531 0.2422 S
0.9197 0.5919 0.7589 S
```

Record 3
First-principles (PBE) data for a relaxed Tb2PrTh3S6 crystal, as listed in Alexandria.

Values from the calculation:
formation energy without anion corrections	-1.908	eV per atom
final energy	-6.997	eV/atom

Structure (POSCAR):
```
Tb2PrTh3S6
1.0
3.4590 -5.9458 0.0000
3.4590 5.9458 0.0000
-2.2710 0.0000 6.6738
Tb Pr Th S
2 1 3 6
Direct
0.1672 0.8328 0.0000 Tb
0.8328 0.1672 0.0000 Tb
0.5000 0.5000 0.0000 Pr
0.0000 0.0000 0.5000 Th
0.3380 0.6620 0.5000 Th
0.6620 0.3380 0.5000 Th
0.0760 0.4188 0.7562 S
0.2362 0.2362 0.2375 S
0.4188 0.0760 0.7562 S
0.5812 0.9240 0.2438 S
0.7638 0.7638 0.7625 S
0.9240 0.5812 0.2438 S
```

Record 4
First-principles (PBE) data for a relaxed TbPr2Th3S6 crystal, as listed in Alexandria.

Values from the calculation:
formation energy without anion corrections	-1.910	eV per atom
final energy	-7.012	eV/atom

Structure (POSCAR):
```
TbPr2Th3S6
1.0
3.4973 -6.0146 0.0000
3.4973 6.0146 0.0000
-2.2991 0.0000 6.6683
Tb Pr Th S
1 2 3 6
Direct
0.0000 0.0000 0.0000 Tb
0.3340 0.6660 0.0000 Pr
0.6660 0.3340 0.0000 Pr
0.1717 0.8283 0.5000 Th
0.5000 0.5000 0.5000 Th
0.8283 0.1717 0.5000 Th
0.0813 0.4051 0.2453 S
0.2392 0.2392 0.7474 S
0.4051 0.0813 0.2453 S
0.5949 0.9187 0.7547 S
0.7608 0.7608 0.2526 S
0.9187 0.5949 0.7547 S
```

Record 5
First-principles (PBE) data for a relaxed TbPr2ThS4 crystal, as listed in Alexandria.

Values from the calculation:
formation energy without anion corrections	-1.966	eV per atom
final energy	-6.731	eV/atom

Structure (POSCAR):
```
TbPr2ThS4
1.0
7.0172 0.0000 0.0000
0.0000 4.0217 0.0000
-2.3103 0.0000 6.6361
Tb Pr Th S
1 2 1 4
Direct
0.0000 0.0000 0.0000 Tb
0.5000 0.0000 0.5000 Pr
0.5000 0.5000 0.0000 Pr
0.0000 0.5000 0.5000 Th
0.2369 0.5000 0.2406 S
0.2414 0.0000 0.7528 S
0.7586 0.0000 0.2472 S
0.7631 0.5000 0.7594 S
```

Record 6
First-principles (PBE) data for a relaxed TbPr3Tl4S8 crystal, as listed in Alexandria.

Values from the calculation:
formation energy without anion corrections	-1.453	eV per atom
final energy	-5.293	eV/atom

Structure (POSCAR):
```
TbPr3Tl4S8
1.0
4.1764 2.4112 7.4990
-4.1764 2.4112 7.4990
0.0000 -4.8225 7.4990
Tb Pr Tl S
1 3 4 8
Direct
0.0000 0.0000 0.0000 Tb
0.0000 0.5000 0.5000 Pr
0.5000 0.0000 0.5000 Pr
0.5000 0.5000 0.0000 Pr
0.0000 0.0000 0.5000 Tl
0.0000 0.5000 0.0000 Tl
0.5000 0.0000 0.0000 Tl
0.5000 0.5000 0.5000 Tl
0.2301 0.2301 0.7428 S
0.2301 0.7428 0.2301 S
0.2572 0.7699 0.7699 S
0.2644 0.2644 0.2644 S
0.7356 0.7356 0.7356 S
0.7428 0.2301 0.2301 S
0.7699 0.2572 0.7699 S
0.7699 0.7699 0.2572 S
```